The following is a PBEsol calculation of a relaxed CaPtAu crystal, from Alexandria via LeMat-Bulk.

Unit cell a=3.6066 b=4.5024 c=4.5024 alpha=120.00 beta=90.00 gamma=90.00
Positions (direct):
Pt: 0.5000 0.3333 0.6667
Au: 0.5000 0.0000 0.0000
Ca: 0.0000 0.6667 0.3333

Properties
M_tot in μB per cell: 0.000
Crystal system: hexagonal
Energy of formation from the pure elements in eV per atom: -0.578



The following is a PBEsol calculation of a relaxed CaPt2Au crystal, from Alexandria via LeMat-Bulk.

Unit cell a=4.0722 b=4.0722 c=5.0745 alpha=113.66 beta=113.66 gamma=90.00
Positions (direct):
Au: 0.5000 0.5000 0.0000
Pt: 0.7500 0.2500 0.5000
Ca: 0.2500 0.7500 0.5000
Pt: 0.0000 0.0000 0.0000

Properties
M_tot in μB per cell: 0.001
Crystal system: tetragonal
Energy of formation from the pure elements in eV per atom: -0.432



The following is a PBEsol calculation of a relaxed CaPtAu crystal, from Alexandria via LeMat-Bulk.

Unit cell a=4.5593 b=4.5593 c=4.5593 alpha=60.00 beta=60.00 gamma=60.00
Positions (direct):
Ca: 0.2500 0.2500 0.2500
Pt: 0.0000 0.0000 0.0000
Au: 0.5000 0.5000 0.5000

Properties
M_tot in μB per cell: 0.000
Crystal system: cubic
Energy of formation from the pure elements in eV per atom: 0.002



The following is a PBEsol calculation of a relaxed Ca2Pt2Au crystal, from Alexandria via LeMat-Bulk.

Unit cell a=4.0929 b=7.0961 c=7.0961 alpha=90.00 beta=90.00 gamma=90.00
Positions (direct):
Au: 0.0000 0.5000 0.5000
Au: 0.0000 0.0000 0.0000
Pt: 0.0000 0.3675 0.8675
Ca: 0.5000 0.8275 0.3275
Ca: 0.5000 0.1725 0.6725
Pt: 0.0000 0.8675 0.6325
Ca: 0.5000 0.3275 0.1725
Pt: 0.0000 0.1325 0.3675
Ca: 0.5000 0.6725 0.8275
Pt: 0.0000 0.6325 0.1325

Properties
M_tot in μB per cell: 0.000
Crystal system: tetragonal
Energy of formation from the pure elements in eV per atom: -0.726



The following is a PBEsol calculation of a relaxed CaPt4Au crystal, from Alexandria via LeMat-Bulk.

Unit cell a=5.2776 b=5.2776 c=5.2776 alpha=60.00 beta=60.00 gamma=60.00
Positions (direct):
Pt: 0.3752 0.3752 0.8743
Pt: 0.8743 0.3752 0.3752
Au: 0.7500 0.7500 0.7500
Pt: 0.3752 0.3752 0.3752
Pt: 0.3752 0.8743 0.3752
Ca: 0.0000 0.0000 0.0000

Properties
M_tot in μB per cell: 0.001
Crystal system: cubic
Energy of formation from the pure elements in eV per atom: -0.445



The following is a PBEsol calculation of a relaxed RbCaAu2 crystal, from Alexandria via LeMat-Bulk.

Unit cell a=5.3039 b=5.3039 c=5.3039 alpha=60.00 beta=60.00 gamma=60.00
Positions (direct):
Ca: 0.0000 0.0000 0.0000
Rb: 0.5000 0.5000 0.5000
Au: 0.7500 0.7500 0.7500
Au: 0.2500 0.2500 0.2500

Properties
M_tot in μB per cell: 0.000
Crystal system: cubic
Energy of formation from the pure elements in eV per atom: -0.259



The following is a PBEsol calculation of a relaxed Rb3CaAu crystal, from Alexandria via LeMat-Bulk.

Unit cell a=7.6154 b=7.6154 c=7.6154 alpha=90.00 beta=90.00 gamma=90.00
Each line ends with the local moment (μB).
Positions (direct):
Rb: 0.0000 0.5000 0.0000  0.01
Rb: 0.5000 0.0000 0.0000  0.01
Au: 0.5000 0.5000 0.5000  0.01
Ca: 0.0000 0.0000 0.0000  0.06
Rb: 0.0000 0.0000 0.5000  0.01

Properties
M_tot in μB per cell: 0.927
Crystal system: cubic
Energy of formation from the pure elements in eV per atom: 0.718



The following is a PBEsol calculation of a relaxed RbCaSbAu2 crystal, from Alexandria via LeMat-Bulk.

Unit cell a=5.5352 b=5.5352 c=5.8267 alpha=90.00 beta=90.00 gamma=90.00
Each line ends with the local moment (μB).
Positions (direct):
Sb: 0.0000 0.0000 0.5000  0.34
Au: 0.5000 0.0000 0.0000  0.04
Ca: 0.0000 0.0000 0.0000  0.02
Rb: 0.5000 0.5000 0.5000  0.01
Au: 0.0000 0.5000 0.0000  0.04

Properties
Formation energy from raw total energies in eV per atom: 0.167
M_tot in μB per cell: 1.066
Crystal system: tetragonal



The following is a PBEsol calculation of a relaxed Ca2ReAu crystal, from Alexandria via LeMat-Bulk.

Unit cell a=2.8460 b=5.2019 c=5.4920 alpha=90.00 beta=90.00 gamma=90.00
Positions (direct):
Re: 0.5000 0.0000 0.5486
Ca: 0.0000 0.0000 0.0599
Ca: 0.0000 0.5000 0.6857
Au: 0.5000 0.5000 0.2059

Properties
M_tot in μB per cell: 0.001
Crystal system: orthorhombic
Energy of formation from the pure elements in eV per atom: 0.322



The following is a PBEsol calculation of a relaxed Ca3ReAu crystal, from Alexandria via LeMat-Bulk.

Unit cell a=5.4177 b=5.4177 c=5.4177 alpha=90.00 beta=90.00 gamma=90.00
Each line ends with the local moment (μB).
Positions (direct):
Re: 0.5000 0.5000 0.5000  2.88
Ca: 0.0000 0.0000 0.5000  -0.03
Ca: 0.0000 0.5000 0.0000  -0.03
Ca: 0.5000 0.0000 0.0000  -0.03
Au: 0.0000 0.0000 0.0000  -0.02

Properties
M_tot in μB per cell: 3.238
Crystal system: cubic
Energy of formation from the pure elements in eV per atom: 0.884



The following is a PBEsol calculation of a relaxed Ca4ReAu crystal, from Alexandria via LeMat-Bulk.

Unit cell a=5.8581 b=5.8581 c=5.8581 alpha=60.00 beta=60.00 gamma=60.00
Positions (direct):
Re: 0.7500 0.7500 0.7500
Au: 0.0000 0.0000 0.0000
Ca: 0.8728 0.3757 0.3757
Ca: 0.3757 0.8728 0.3757
Ca: 0.3757 0.3757 0.3757
Ca: 0.3757 0.3757 0.8728

Properties
M_tot in μB per cell: 0.052
Crystal system: cubic
Energy of formation from the pure elements in eV per atom: 1.069



The following is a PBEsol calculation of a relaxed Ca2ReAu crystal, from Alexandria via LeMat-Bulk.

Unit cell a=3.1762 b=3.1762 c=9.6674 alpha=80.54 beta=80.54 gamma=60.00
Positions (direct):
Ca: 0.2490 0.2490 0.2531
Au: 0.0000 0.0000 0.0000
Re: 0.5000 0.5000 0.5000
Ca: 0.7510 0.7510 0.7469

Properties
M_tot in μB per cell: 0.007
Crystal system: trigonal
Energy of formation from the pure elements in eV per atom: 0.493



The following is a PBEsol calculation of a relaxed CaRh2Au2 crystal, from Alexandria via LeMat-Bulk.

Unit cell a=4.5604 b=4.5604 c=5.7326 alpha=113.44 beta=113.44 gamma=90.00
Positions (direct):
Au: 0.7500 0.2500 0.5000
Au: 0.2500 0.7500 0.5000
Rh: 0.3796 0.3796 0.7592
Rh: 0.6204 0.6204 0.2408
Ca: 0.0000 0.0000 0.0000

Properties
M_tot in μB per cell: 0.000
Crystal system: tetragonal
Energy of formation from the pure elements in eV per atom: -0.003



The following is a PBEsol calculation of a relaxed CaRhAu crystal, from Alexandria via LeMat-Bulk.

Unit cell a=3.0322 b=3.0322 c=6.8291 alpha=90.00 beta=90.00 gamma=120.00
Positions (direct):
Au: 0.0000 0.0000 0.0115
Rh: 0.3333 0.6667 0.3372
Ca: 0.6667 0.3333 0.6512

Properties
M_tot in μB per cell: 0.000
Crystal system: trigonal
Energy of formation from the pure elements in eV per atom: 0.128



The following is a PBEsol calculation of a relaxed CaRh2Au2 crystal, from Alexandria via LeMat-Bulk.

Unit cell a=3.7415 b=3.7415 c=7.1109 alpha=105.25 beta=105.25 gamma=90.00
Each line ends with the local moment (μB).
Positions (direct):
Ca: 0.0000 0.0000 0.0000  -0.01
Au: 0.3991 0.3991 0.7982  0.03
Rh: 0.7500 0.2500 0.5000  0.55
Rh: 0.2500 0.7500 0.5000  0.55
Au: 0.6009 0.6009 0.2018  0.03

Properties
M_tot in μB per cell: 1.141
Crystal system: tetragonal
Energy of formation from the pure elements in eV per atom: -0.074



The following is a PBEsol calculation of a relaxed CaRuAu2 crystal, from Alexandria via LeMat-Bulk.

Unit cell a=2.8001 b=5.1047 c=5.2077 alpha=99.48 beta=90.00 gamma=105.92
Positions (direct):
Ru: 0.5000 0.0000 0.0000
Au: 0.7640 0.5281 0.7691
Ca: 0.0000 0.0000 0.5000
Au: 0.2360 0.4719 0.2309

Properties
M_tot in μB per cell: 0.002
Crystal system: monoclinic
Energy of formation from the pure elements in eV per atom: 0.129



The following is a PBEsol calculation of a relaxed CaRuAu crystal, from Alexandria via LeMat-Bulk.

Unit cell a=3.4518 b=4.4494 c=4.4494 alpha=120.00 beta=90.00 gamma=90.00
Each line ends with the local moment (μB).
Positions (direct):
Ru: 0.5000 0.6667 0.3333  0.33
Au: 0.5000 0.0000 0.0000  0.02
Ca: 0.0000 0.3333 0.6667  0.00

Properties
M_tot in μB per cell: 0.364
Crystal system: hexagonal
Energy of formation from the pure elements in eV per atom: 0.154



The following is a PBEsol calculation of a relaxed CaRuAu crystal, from Alexandria via LeMat-Bulk.

Unit cell a=2.9179 b=2.9179 c=6.7347 alpha=102.51 beta=102.51 gamma=90.00
Each line ends with the local moment (μB).
Positions (direct):
Ru: 0.6581 0.6581 0.3162  1.09
Au: 0.0122 0.0122 0.0244  0.09
Ca: 0.3297 0.3297 0.6594  -0.02

Properties
M_tot in μB per cell: 1.183
Crystal system: tetragonal
Energy of formation from the pure elements in eV per atom: 0.278



The following is a PBEsol calculation of a relaxed Ca2RuAu crystal, from Alexandria via LeMat-Bulk.

Unit cell a=3.4010 b=3.4010 c=8.8182 alpha=78.88 beta=78.88 gamma=60.00
Positions (direct):
Ca: 0.2446 0.2446 0.2662
Ca: 0.7554 0.7554 0.7338
Au: 0.0000 0.0000 0.0000
Ru: 0.5000 0.5000 0.5000

Properties
M_tot in μB per cell: 0.000
Crystal system: trigonal
Energy of formation from the pure elements in eV per atom: 0.151



The following is a PBEsol calculation of a relaxed Ca2SbAu crystal, from Alexandria via LeMat-Bulk.

Unit cell a=3.7856 b=5.1493 c=5.1493 alpha=90.00 beta=90.00 gamma=90.00
Positions (direct):
Au: 0.5000 0.0000 0.0000
Ca: 0.0000 0.0000 0.5000
Sb: 0.5000 0.5000 0.5000
Ca: 0.0000 0.5000 0.0000

Properties
Formation energy from raw total energies in eV per atom: -0.844
M_tot in μB per cell: 0.000
Crystal system: tetragonal



no.,Fermi-level density of states (states/eV/f.u.)
1,1.365
2,4.429
3,1.370
4,2.051
5,4.613
6,1.811
7,6.331
8,3.526
9,3.267
10,5.483
11,7.930
12,3.634
13,2.837
14,1.318
15,6.048
16,3.027
17,3.951
18,2.600
19,1.575
20,1.254